PRhCl2 | PBE-GGA | relaxed

Computed properties:
Energy relative to the lowest polymorph listed for this composition, eV/atom: 1.284
Raw total energy, eV/atom: -3.57
Magnetic moment, μB/cell: 0.00
Calculated density, g cm⁻³: 5.24

Cell: 4.512 4.512 4.512 Å, 120.05 120.05 89.92°
Fractional coordinates of all 4 atoms:
Cl1 0.250 0.750 0.500
Cl2 0.000 0.000 0.000
P1 0.500 0.500 0.000
Rh1 0.750 0.250 0.500


AgRuPb | PBE-GGA | relaxed

Computed properties:
Energy relative to the lowest polymorph listed for this composition, eV/atom: 0.000
E_form, eV/atom: 0.548
Raw total energy, eV/atom: -4.73
Magnetic moment, μB/cell: 0.00
Calculated density, g cm⁻³: 10.65

Cell: 4.510 4.510 4.510 Å, 60.00 60.00 60.00°
Fractional coordinates of all 3 atoms:
Pb1 0.500 0.500 0.500
Ag1 0.000 0.000 0.000
Ru1 0.750 0.750 0.750


TlZn3Ag3 | PBE-GGA | relaxed

Computed properties:
E_form, eV/atom: 0.400
Raw total energy, eV/atom: -1.71
Magnetic moment, μB/cell: 0.00
Calculated density, g cm⁻³: 6.47

Cell: 7.190 7.190 7.190 Å, 90.00 90.00 90.00°
Fractional coordinates of all 14 atoms:
Ag1 0.000 0.500 0.750
Ag2 0.250 0.000 0.500
Ag3 0.750 0.000 0.500
Ag4 0.500 0.250 0.000
Ag5 0.500 0.750 0.000
Ag6 0.000 0.500 0.250
Tl1 0.500 0.500 0.500
Tl2 0.000 0.000 0.000
Zn1 0.500 0.000 0.750
Zn2 0.750 0.500 0.000
Zn3 0.250 0.500 0.000
Zn4 0.500 0.000 0.250
Zn5 0.000 0.750 0.500
Zn6 0.000 0.250 0.500


Na2AgGe | PBE-GGA | relaxed

Computed properties:
E_form, eV/atom: -0.056
Raw total energy, eV/atom: -2.58
Magnetic moment, μB/cell: 0.00
Calculated density, g cm⁻³: 4.01

Cell: 5.584 5.918 5.918 Å, 106.47 90.00 90.00°
Fractional coordinates of all 8 atoms:
Na1 0.250 0.655 0.026
Na2 0.250 0.026 0.655
Na3 0.750 0.345 0.974
Na4 0.750 0.974 0.345
Ge1 0.250 0.183 0.183
Ge2 0.750 0.817 0.817
Ag1 0.000 0.500 0.500
Ag2 0.500 0.500 0.500


> raw total energy of number 1 (PRhCl2)?

-3.57 eV/atom